Material: Mg2CdFe
Method: DFT, PBE
State: relaxed Values from VASP.

The structure in Quantum ESPRESSO input format:
```
&SYSTEM
  ibrav = 0, nat = 4, ntyp = 3
/
ATOMIC_SPECIES
Cd 112.41 Cd.upf
Mg 24.30 Mg.upf
Fe 55.84 Fe.upf
ATOMIC_POSITIONS angstrom
Cd -2.120 0.717 2.088
Mg -3.240 3.289 1.568
Fe -4.872 0.918 1.173
Mg -2.759 -0.121 -0.668
CELL_PARAMETERS angstrom
-3.348 -2.006 -2.710
-0.892 -1.649 2.321
-3.322 3.713 1.356
```

Computed properties:
The formation energy from the elements is 0.19 eV per atom. The volume is 73.2 Å³/f.u.

---

Material: Mg4CdFe
Method: DFT, PBE
State: relaxed Values from VASP.

The structure in Quantum ESPRESSO input format:
```
&SYSTEM
  ibrav = 0, nat = 12, ntyp = 3
/
ATOMIC_SPECIES
Mg 24.30 Mg.upf
Cd 112.41 Cd.upf
Fe 55.84 Fe.upf
ATOMIC_POSITIONS angstrom
Mg -1.338 -3.540 3.419
Cd -4.407 -3.868 1.536
Mg -4.929 -0.931 -2.892
Fe -3.821 -0.213 -0.639
Fe -0.587 -6.145 2.979
Mg -6.003 -1.863 -0.160
Cd -0.001 -2.490 0.804
Mg -3.071 -2.818 -1.079
Mg -1.211 -0.229 -0.711
Mg -2.796 -1.257 1.721
Mg -1.612 -5.101 0.619
Mg 1.594 -4.495 2.500
CELL_PARAMETERS angstrom
-2.655 1.319 4.101
-6.140 -1.159 -3.602
4.387 -6.518 1.841
```

Computed properties:
The formation energy from the elements is 0.07 eV per atom. The volume is 123.5 Å³/f.u. The value obtained for the energy relative to the lowest polymorph listed for this composition is 0 meV/atom.

---

Material: Mg2CdFe
Method: DFT, PBE
State: relaxed Values from VASP.

The structure in Quantum ESPRESSO input format:
```
&SYSTEM
  ibrav = 0, nat = 4, ntyp = 3
/
ATOMIC_SPECIES
Mg 24.30 Mg.upf
Fe 55.84 Fe.upf
Cd 112.41 Cd.upf
ATOMIC_POSITIONS angstrom
Mg 0.000 0.000 4.551
Fe 1.452 1.479 6.382
Mg 0.000 0.000 8.213
Cd 1.452 1.479 2.127
CELL_PARAMETERS angstrom
2.933 0.025 0.000
-0.030 2.933 0.000
0.000 0.000 8.509
```

Computed properties:
The formation energy from the elements is 0.11 eV per atom. The volume is 73.2 Å³/f.u.

---

Please write out number 2 again, unchanged.
Material: Mg4CdFe
Method: DFT, PBE
State: relaxed Values from VASP.

The structure in Quantum ESPRESSO input format:
```
&SYSTEM
  ibrav = 0, nat = 12, ntyp = 3
/
ATOMIC_SPECIES
Mg 24.30 Mg.upf
Cd 112.41 Cd.upf
Fe 55.84 Fe.upf
ATOMIC_POSITIONS angstrom
Mg -1.338 -3.540 3.419
Cd -4.407 -3.868 1.536
Mg -4.929 -0.931 -2.892
Fe -3.821 -0.213 -0.639
Fe -0.587 -6.145 2.979
Mg -6.003 -1.863 -0.160
Cd -0.001 -2.490 0.804
Mg -3.071 -2.818 -1.079
Mg -1.211 -0.229 -0.711
Mg -2.796 -1.257 1.721
Mg -1.612 -5.101 0.619
Mg 1.594 -4.495 2.500
CELL_PARAMETERS angstrom
-2.655 1.319 4.101
-6.140 -1.159 -3.602
4.387 -6.518 1.841
```

Computed properties:
The formation energy from the elements is 0.07 eV per atom. The volume is 123.5 Å³/f.u. The value obtained for the energy relative to the lowest polymorph listed for this composition is 0 meV/atom.

---

Question: What is the formation energy from the elements in the first record?
Answer: 0.19 eV per atom

---

Question: Which value of volume does entry 3 give?
Answer: 73.2 Å³/f.u.

---

Question: Among the records above, which one has the highest formation energy from the elements?
Answer: number 1